Density functional theory data (PBE with a Hubbard U) for a geometry-optimized MoAsNO2 structure.

Electronic total energy in eV per atom: -6.066
Total magnetic moment in μB/cell: 1.97

Cell: 3.9012 3.9012 4.2176 Å, 90.00 90.00 90.00°
Closest atoms and distances in Å follow each position.
Positions (direct):
O1 0.0000 0.5000 0.0000  2 Mo 1.95
Mo1 0.0000 0.0000 0.0000  4 O 1.95, 2 N 2.11
N1 0.0000 0.0000 0.5000  2 Mo 2.11
As1 0.5000 0.5000 0.5000  4 N 2.76, 8 O 2.87
O2 0.5000 0.0000 0.0000  2 Mo 1.95